Record 1
# CuTcPS2 | Alexandria | PBE | relaxed
data_CuTcPS2
_cell_length_a 4.5039
_cell_length_b 4.5039
_cell_length_c 4.4709
_cell_angle_alpha 90.00
_cell_angle_beta 90.00
_cell_angle_gamma 90.00
_symmetry_space_group_name_H-M 'P 4/m m m'
_symmetry_Int_Tables_number 123
_symmetry_space_group_name_Hall '-P 4 2'
loop_
_atom_site_label
_atom_site_type_symbol
_atom_site_fract_x
_atom_site_fract_y
_atom_site_fract_z
_atom_site_occupancy
Cu1 Cu 0.0000 0.0000 0.0000 1
Tc1 Tc 0.5000 0.5000 0.5000 1
P1 P 0.0000 0.0000 0.5000 1
S1 S 0.0000 0.5000 0.0000 1
# Formation energy from raw total energies   101 kJ per mole of atoms
# Distance to the lowest polymorph of the same formula   385 meV/atom

=====

Record 2
# CuTcPS2 | Alexandria | PBE | relaxed
data_CuTcPS2
_cell_length_a 4.4995
_cell_length_b 4.4995
_cell_length_c 4.9199
_cell_angle_alpha 90.00
_cell_angle_beta 90.00
_cell_angle_gamma 90.00
_symmetry_space_group_name_H-M 'P 4/m m m'
_symmetry_Int_Tables_number 123
_symmetry_space_group_name_Hall '-P 4 2'
loop_
_atom_site_label
_atom_site_type_symbol
_atom_site_fract_x
_atom_site_fract_y
_atom_site_fract_z
_atom_site_occupancy
Cu1 Cu 0.0000 0.0000 0.0000 1
Tc1 Tc 0.5000 0.5000 0.5000 1
P1 P 0.5000 0.5000 0.0000 1
S1 S 0.0000 0.5000 0.5000 1
# Formation energy from raw total energies   64 kJ per mole of atoms
# Distance to the lowest polymorph of the same formula   0 meV/atom

=====

Record 3
# CuTePS2 | Alexandria | PBE | relaxed
data_CuTePS2
_cell_length_a 4.5577
_cell_length_b 4.5577
_cell_length_c 4.5588
_cell_angle_alpha 90.00
_cell_angle_beta 90.00
_cell_angle_gamma 90.00
_symmetry_space_group_name_H-M 'P 4/m m m'
_symmetry_Int_Tables_number 123
_symmetry_space_group_name_Hall '-P 4 2'
loop_
_atom_site_label
_atom_site_type_symbol
_atom_site_fract_x
_atom_site_fract_y
_atom_site_fract_z
_atom_site_occupancy
Cu1 Cu 0.0000 0.0000 0.0000 1
Te1 Te 0.5000 0.5000 0.5000 1
P1 P 0.0000 0.0000 0.5000 1
S1 S 0.0000 0.5000 0.0000 1
# Formation energy from raw total energies   57 kJ per mole of atoms
# Distance to the lowest polymorph of the same formula   0 meV/atom

=====

Record 4
# CuTePS2 | Alexandria | PBE | relaxed
data_CuTePS2
_cell_length_a 5.1686
_cell_length_b 5.1686
_cell_length_c 4.7728
_cell_angle_alpha 90.00
_cell_angle_beta 90.00
_cell_angle_gamma 90.00
_symmetry_space_group_name_H-M 'P 4/m m m'
_symmetry_Int_Tables_number 123
_symmetry_space_group_name_Hall '-P 4 2'
loop_
_atom_site_label
_atom_site_type_symbol
_atom_site_fract_x
_atom_site_fract_y
_atom_site_fract_z
_atom_site_occupancy
Cu1 Cu 0.0000 0.0000 0.0000 1
Te1 Te 0.0000 0.0000 0.5000 1
P1 P 0.5000 0.5000 0.0000 1
S1 S 0.0000 0.5000 0.5000 1
# Formation energy from raw total energies   107 kJ per mole of atoms
# Distance to the lowest polymorph of the same formula   513 meV/atom

=====

Record 5
# ThCuPS | Alexandria | PBE | relaxed
data_ThCuPS
_cell_length_a 4.2065
_cell_length_b 4.2065
_cell_length_c 8.6039
_cell_angle_alpha 90.00
_cell_angle_beta 90.00
_cell_angle_gamma 90.00
_symmetry_space_group_name_H-M 'P 4/n m m'
_symmetry_Int_Tables_number 129
loop_
_symmetry_equiv_pos_as_xyz
'x,y,z'
'-x,-y,-z'
'-y+1/2,x,z'
'y+1/2,-x,-z'
'-x+1/2,-y+1/2,z'
'x+1/2,y+1/2,-z'
'y,-x+1/2,z'
'-y,x+1/2,-z'
'x+1/2,-y,-z'
'-x+1/2,y,z'
'-y,-x,-z'
'y,x,z'
'-x,y+1/2,-z'
'x,-y+1/2,z'
'y+1/2,x+1/2,-z'
'-y+1/2,-x+1/2,z'
loop_
_atom_site_label
_atom_site_type_symbol
_atom_site_fract_x
_atom_site_fract_y
_atom_site_fract_z
_atom_site_occupancy
Th1 Th 0.2500 0.2500 0.2102 1
Cu1 Cu 0.2500 0.7500 0.5000 1
P1 P 0.2500 0.2500 0.6524 1
S1 S 0.2500 0.7500 0.0000 1
# Formation energy from raw total energies   -105 kJ per mole of atoms

=====

Record 6
# TiCuP2S | Alexandria | PBE | relaxed
data_TiCuP2S
_cell_length_a 4.4027
_cell_length_b 4.4027
_cell_length_c 4.5639
_cell_angle_alpha 90.00
_cell_angle_beta 90.00
_cell_angle_gamma 90.00
_symmetry_space_group_name_H-M 'P 4/m m m'
_symmetry_Int_Tables_number 123
_symmetry_space_group_name_Hall '-P 4 2'
loop_
_atom_site_label
_atom_site_type_symbol
_atom_site_fract_x
_atom_site_fract_y
_atom_site_fract_z
_atom_site_occupancy
Ti1 Ti 0.0000 0.0000 0.0000 1
Cu1 Cu 0.5000 0.5000 0.5000 1
P1 P 0.0000 0.5000 0.5000 1
S1 S 0.5000 0.5000 0.0000 1
# Formation energy from raw total energies   55 kJ per mole of atoms
# Distance to the lowest polymorph of the same formula   188 meV/atom

=====

Summary of VASP energy in eV/atom
-4.57 -4.96 -3.59 -3.07 -6.36 -4.82
(order as listed above)